[1]
The following is a GGA-PBE calculation of NaCrH4 after structural relaxation, from Alexandria.

Cell: 4.6126 6.1074 5.4090 Å, 111.58 99.54 117.49°
Last column: nearest neighbours and their distance in Å.
Positions (direct):
1 H 0.9168 0.8288 0.1172  2 Cr 1.78, 2 H 1.86-1.95
2 H 0.1865 0.2225 0.2720  2 Cr 1.75-1.78, 2 H 1.86-1.95
3 H 0.8135 0.7775 0.7280  2 Cr 1.75-1.78, 2 H 1.86-1.95
4 H 0.5856 0.0496 0.2720  2 Cr 1.75-1.78, 2 H 1.86-1.95
5 Cr 0.2528 0.0028 0.0056  8 H 1.75-1.78
6 Cr 0.7472 0.9972 0.9944  8 H 1.75-1.78
7 H 0.4144 0.9504 0.7280  2 Cr 1.75-1.78, 2 H 1.86-1.95
8 H 0.7003 0.2884 0.1172  2 Cr 1.78, 2 H 1.86-1.95
9 Na 0.5989 0.3489 0.6978  6 H 2.26-2.43
10 H 0.0832 0.1712 0.8828  2 Cr 1.78, 2 H 1.86-1.95
11 Na 0.4011 0.6511 0.3022  6 H 2.26-2.43
12 H 0.2997 0.7116 0.8828  2 Cr 1.78, 2 H 1.86-1.95

Results
Calculated volume ... 9.6 Å³/atom
Total DFT energy (no corrections) ... -4.076 eV/atom

=====

[2]
The following is a GGA-PBE calculation of Na3YbP2O8 after structural relaxation, from Alexandria.

Cell: 9.3600 9.3600 9.3600 Å, 60.12 60.12 60.12°
Last column: nearest neighbours and their distance in Å.
Positions (direct):
1 Na 0.6501 0.6501 0.6501  6 O 2.39-2.49
2 Na 0.4010 0.7441 0.0620  4 O 2.39-2.59
3 O 0.8111 0.5886 0.0014  1 P 1.56
4 P 0.5604 0.9529 0.2419  4 O 1.54-1.56
5 O 0.5405 0.0998 0.2919  1 P 1.56
6 Na 0.5032 0.5032 0.5032  6 O 2.48-2.64
7 O 0.2540 0.1259 0.8836  1 P 1.57
8 P 0.0600 0.7490 0.4353  4 O 1.54-1.57
9 O 0.4212 0.0301 0.1560  1 P 1.55
10 P 0.9529 0.2419 0.5604  4 O 1.54-1.56
11 Na 0.2749 0.8812 0.6193  3 O 2.38-2.41
12 Na 0.8812 0.6193 0.2749  3 O 2.38-2.41
13 P 0.7490 0.4353 0.0600  4 O 1.54-1.57
14 O 0.7460 0.9095 0.1032  1 P 1.56
15 O 0.4399 0.9020 0.7325  1 P 1.54
16 O 0.0998 0.2919 0.5405  1 P 1.56
17 O 0.7325 0.4399 0.9020  1 P 1.54
18 Na 0.6193 0.2749 0.8812  3 O 2.38-2.41
19 O 0.4015 0.5396 0.7876  1 P 1.54
20 O 0.5886 0.0014 0.8111  1 P 1.56
21 O 0.0301 0.1560 0.4212  1 P 1.55
22 O 0.1560 0.4212 0.0301  1 P 1.55
23 O 0.9020 0.7325 0.4399  1 P 1.54
24 Yb 0.3501 0.3501 0.3501  6 O 2.26-2.29
25 Yb 0.8485 0.8485 0.8485  6 O 2.23-2.34
26 O 0.8836 0.2540 0.1259  1 P 1.57
27 P 0.2419 0.5604 0.9529  4 O 1.54-1.56
28 O 0.1259 0.8836 0.2540  1 P 1.57
29 O 0.0014 0.8111 0.5886  1 P 1.56
30 O 0.2142 0.5733 0.4608  1 P 1.56
31 O 0.2919 0.5405 0.0998  1 P 1.56
32 O 0.7876 0.4015 0.5396  1 P 1.54
33 Na 0.9995 0.9995 0.9995  6 O 2.48-2.68
34 P 0.4353 0.0600 0.7490  4 O 1.54-1.57
35 O 0.9095 0.1032 0.7460  1 P 1.56
36 Na 0.0620 0.4010 0.7441  4 O 2.39-2.59
37 O 0.5396 0.7876 0.4015  1 P 1.54
38 O 0.4608 0.2142 0.5733  1 P 1.56
39 O 0.5733 0.4608 0.2142  1 P 1.56
40 Yb 0.1523 0.1523 0.1523  6 O 2.20-2.30
41 Na 0.7441 0.0620 0.4010  4 O 2.39-2.59
42 O 0.1032 0.7460 0.9095  1 P 1.56

Results
Formation energy from raw total energies ... -229.96 kJ/mol of atoms
Calculated volume ... 13.8 Å³/atom
Total DFT energy (no corrections) ... -6.381 eV/atom

=====

[3]
The following is a GGA-PBE calculation of TlIn2Ir after structural relaxation, from Alexandria.

Cell: 4.9814 4.9814 4.9814 Å, 60.00 60.00 60.00°
Last column: nearest neighbours and their distance in Å.
Positions (direct):
1 In 0.7500 0.7500 0.7500  4 Ir 3.05, 4 Tl 3.05
2 In 0.2500 0.2500 0.2500  4 Tl 3.05, 4 Ir 3.05
3 Ir 0.0000 0.0000 0.0000  8 In 3.05
4 Tl 0.5000 0.5000 0.5000  8 In 3.05

Results
Formation enthalpy at 0 K ... 0.329 eV/atom
Relative energy among the computed polymorphs ... 303 meV/atom
Calculated volume ... 21.9 Å³/atom
Total DFT energy (no corrections) ... -3.847 eV/atom

=====

[4]
The following is a GGA-PBE calculation of Zr2CoBiH after structural relaxation, from Alexandria.

Cell: 4.4244 4.4244 4.1585 Å, 90.00 90.00 90.00°
Last column: nearest neighbours and their distance in Å.
Positions (direct):
1 Zr 0.5000 0.0000 0.0000  2 H 2.21
2 Co 0.0000 0.0000 0.5000  2 H 2.08
3 H 0.0000 0.0000 0.0000  2 Co 2.08, 4 Zr 2.21
4 Bi 0.5000 0.5000 0.5000  8 Zr 3.04, 4 Co 3.13
5 Zr 0.0000 0.5000 0.0000  2 H 2.21

Results
Calculated volume ... 16.3 Å³/atom
Total DFT energy (no corrections) ... -6.463 eV/atom